1.
{"formula": "Tb3SO3", "functional": "GGA-PBE", "state": "optimized geometry", "magnetic_moment_mub_per_fu": 0.00, "e_form_raw_ev_per_atom": -3.106, "lattice": [[3.3057, 1.9085, 6.5907], [-3.3057, 1.9085, 6.5907], [0.0000, -3.8170, 6.5907]], "species": ["Tb", "Tb", "Tb", "Tb", "Tb", "Tb", "S", "S", "O", "O", "O", "O", "O", "O"], "frac_coords": [[0.0929, 0.7604, 0.4267], [0.2396, 0.5733, 0.9071], [0.4267, 0.0929, 0.7604], [0.5733, 0.9071, 0.2396], [0.7604, 0.4267, 0.0929], [0.9071, 0.2396, 0.5733], [0.3332, 0.3332, 0.3332], [0.6668, 0.6668, 0.6668], [0.1236, 0.4533, 0.7912], [0.2088, 0.8764, 0.5467], [0.4533, 0.7912, 0.1236], [0.5467, 0.2088, 0.8764], [0.7912, 0.1236, 0.4533], [0.8764, 0.5467, 0.2088]]}

---

2.
{"formula": "Li2Pm3SmTe6", "functional": "GGA-PBE", "state": "optimized geometry", "magnetic_moment_mub_per_fu": 0.00, "e_form_raw_ev_per_atom": -1.349, "lattice": [[9.6174, -2.2071, 0.0000], [9.6174, 2.2071, 0.0000], [-2.0373, 0.0000, 8.6129]], "species": ["Li", "Li", "Pm", "Pm", "Pm", "Sm", "Te", "Te", "Te", "Te", "Te", "Te"], "frac_coords": [[0.1762, 0.1762, 0.3553], [0.8238, 0.8238, 0.6447], [0.1651, 0.1651, 0.8354], [0.5000, 0.5000, 0.5000], [0.8349, 0.8349, 0.1646], [0.5000, 0.5000, 0.0000], [0.0061, 0.0061, 0.2520], [0.3316, 0.3316, 0.4201], [0.3333, 0.3333, 0.9031], [0.6667, 0.6667, 0.0969], [0.6684, 0.6684, 0.5799], [0.9939, 0.9939, 0.7480]]}

---

3.
{"formula": "SmCu2I8", "functional": "GGA-PBE", "state": "optimized geometry", "magnetic_moment_mub_per_fu": 0.00, "e_form_raw_ev_per_atom": -0.447, "lattice": [[-3.9610, 3.9610, 6.5495], [3.9610, -3.9610, 6.5495], [3.9610, 3.9610, -6.5495]], "species": ["Sm", "Cu", "Cu", "I", "I", "I", "I", "I", "I", "I", "I"], "frac_coords": [[0.0000, 0.0000, 0.0000], [0.2500, 0.7500, 0.5000], [0.7500, 0.2500, 0.5000], [0.0568, 0.5663, 0.8537], [0.2031, 0.0568, 0.4905], [0.2874, 0.4337, 0.4905], [0.4337, 0.9432, 0.1463], [0.5663, 0.7126, 0.5095], [0.7126, 0.2031, 0.1463], [0.7969, 0.2874, 0.8537], [0.9432, 0.7969, 0.5095]]}

---

4.
{"formula": "RbSc2V", "functional": "GGA-PBE", "state": "optimized geometry", "delta_e_f_ev_per_atom": 1.1913, "magnetic_moment_mub_per_fu": 2.00, "polymorph_energy_mev_per_atom": 184.8, "lattice": [[-3.7581, 3.7581, 5.3335], [3.7581, -3.7581, 5.3335], [3.7581, 3.7581, -5.3335]], "species": ["Rb", "Rb", "Sc", "Sc", "Sc", "Sc", "V", "V"], "frac_coords": [[0.3750, 0.6250, 0.7500], [0.6250, 0.3750, 0.2500], [0.0000, 0.0000, 0.0000], [0.0000, 0.0000, 0.5000], [0.0000, 0.5000, 0.0000], [0.5000, 0.0000, 0.5000], [0.1250, 0.8750, 0.2500], [0.8750, 0.1250, 0.7500]]}

---

5.
{"formula": "CdSn2Br6", "functional": "GGA-PBE", "state": "optimized geometry", "magnetic_moment_mub_per_fu": 0.00, "e_form_raw_ev_per_atom": -0.787, "polymorph_energy_mev_per_atom": 0.0, "lattice": [[7.9981, -2.1306, 0.0000], [7.9981, 2.1306, 0.0000], [-1.8576, 0.0000, 9.6440]], "species": ["Cd", "Sn", "Sn", "Br", "Br", "Br", "Br", "Br", "Br"], "frac_coords": [[0.0000, 0.0000, 0.0000], [0.3513, 0.3513, 0.6636], [0.6487, 0.6487, 0.3364], [0.0062, 0.0062, 0.2813], [0.2738, 0.2738, 0.3277], [0.3757, 0.3757, 0.9610], [0.6243, 0.6243, 0.0390], [0.7262, 0.7262, 0.6723], [0.9938, 0.9938, 0.7187]]}

---

6.
{"formula": "ErAl3Co2", "functional": "GGA-PBE", "state": "optimized geometry", "delta_e_f_ev_per_atom": -0.5072, "magnetic_moment_mub_per_fu": 0.00, "lattice": [[4.5483, -3.9284, 0.0000], [4.5483, 3.9284, 0.0000], [0.0000, 0.0000, 5.2885]], "species": ["Er", "Er", "Al", "Al", "Al", "Al", "Al", "Al", "Co", "Co", "Co", "Co"], "frac_coords": [[0.1327, 0.8673, 0.7500], [0.8673, 0.1327, 0.2500], [0.0436, 0.5907, 0.2500], [0.4093, 0.9564, 0.2500], [0.4838, 0.5162, 0.2500], [0.5162, 0.4838, 0.7500], [0.5907, 0.0436, 0.7500], [0.9564, 0.4093, 0.7500], [0.2777, 0.2777, 0.0000], [0.2777, 0.2777, 0.5000], [0.7223, 0.7223, 0.0000], [0.7223, 0.7223, 0.5000]]}